Record 1
An optimized crystal structure of Sm2AlSi3Pt4. Source: Alexandria, functional PBE.

Cell: 4.242 4.242 10.013 Å, 90.00 90.00 90.00°
Sites, in units of the cell vectors:
Pt 0.000 0.500 0.368
Pt 0.500 0.500 0.000
Pt 0.500 0.000 0.632
Pt 0.000 0.000 0.000
Si 0.000 0.000 0.500
Si 0.000 0.500 0.129
Si 0.500 0.000 0.871
Sm 0.500 0.000 0.252
Sm 0.000 0.500 0.748
Al 0.500 0.500 0.500

Calculated values
V (Å³ per cell): 180.2
Final energy (eV per cell): -65.00

=====

Record 2
An optimized crystal structure of LaScZn. Source: Alexandria, functional PBE.

Cell: 3.507 3.507 7.422 Å, 90.00 90.00 120.00°
Each line ends with the local moment (μB).
Sites, in units of the cell vectors:
Zn 0.333 0.667 0.646  0.00
Sc 0.667 0.333 0.374  0.11
La 0.000 0.000 0.980  0.02

Calculated values
E above lowest polymorph (eV/atom): 0.200
V (Å³ per cell): 79.1
Final energy (eV per cell): -12.55
Formation enthalpy at 0 K (eV per atom): -0.004

=====

Record 3
An optimized crystal structure of NaBeCdFe2. Source: Alexandria, functional PBE.

Cell: 4.484 4.855 4.484 Å, 90.00 90.00 90.00°
Each line ends with the local moment (μB).
Sites, in units of the cell vectors:
Be 0.500 0.500 0.500  -0.06
Na 0.000 0.000 0.000  -0.02
Cd 0.000 0.500 0.000  -0.04
Fe 0.000 0.000 0.500  2.79
Fe 0.500 0.000 0.000  2.95

Calculated values
V (Å³ per cell): 97.6
Final energy (eV per cell): -13.38
Formation enthalpy at 0 K (eV per atom): 1.901

=====

Record 4
An optimized crystal structure of Ba8Pd2I. Source: Alexandria, functional PBE.

Cell: 4.970 11.892 10.844 Å, 120.02 91.30 88.93°
Sites, in units of the cell vectors:
Ba 0.253 0.258 0.936
Ba 0.237 0.070 0.381
Ba 0.264 0.626 0.277
Ba 0.763 0.930 0.619
Ba 0.229 0.654 0.707
Ba 0.747 0.742 0.064
Ba 0.771 0.346 0.293
Ba 0.736 0.374 0.723
Pd 0.757 0.457 0.070
Pd 0.243 0.543 0.930
I 0.000 0.000 0.000

Calculated values
V (Å³ per cell): 554.8
Final energy (eV per cell): -31.77

=====

Record 5
An optimized crystal structure of AsPtBr. Source: Alexandria, functional PBE.

Cell: 4.568 4.568 4.568 Å, 60.00 60.00 60.00°
Sites, in units of the cell vectors:
Br 0.750 0.750 0.750
Pt 0.000 0.000 0.000
As 0.500 0.500 0.500

Calculated values
E above lowest polymorph (eV/atom): 1.260
V (Å³ per cell): 67.4
Final energy (eV per cell): -9.45

=====

Record 6
An optimized crystal structure of Ag2IrBr6. Source: Alexandria, functional PBE.

Cell: 6.985 6.397 11.474 Å, 90.00 89.91 90.00°
Sites, in units of the cell vectors:
Br 0.841 0.777 0.651
Br 0.840 0.786 0.345
Br 0.340 0.714 0.845
Br 0.159 0.223 0.349
Br 0.660 0.286 0.155
Br 0.290 0.771 0.498
Br 0.160 0.214 0.655
Br 0.790 0.729 0.998
Br 0.210 0.271 0.002
Br 0.710 0.229 0.502
Br 0.341 0.723 0.151
Br 0.659 0.277 0.849
Ag 0.001 0.504 0.178
Ag 0.501 0.996 0.678
Ag 0.999 0.496 0.822
Ag 0.499 0.004 0.322
Ir 0.000 0.000 0.500
Ir 0.500 0.500 0.000

Calculated values
V (Å³ per cell): 512.7
Final energy (eV per cell): -53.87

=====

Record 7
An optimized crystal structure of Pr6SmY2. Source: Alexandria, functional PBE.

Cell: 6.348 7.624 7.624 Å, 59.94 89.93 89.93°
Each line ends with the local moment (μB).
Sites, in units of the cell vectors:
Sm 0.000 0.000 0.000  0.00
Pr 0.291 0.812 0.812  0.06
Pr 0.292 0.376 0.812  0.06
Pr 0.708 0.188 0.624  0.06
Pr 0.292 0.812 0.376  0.06
Pr 0.709 0.188 0.188  0.06
Pr 0.708 0.624 0.188  0.06
Y 0.788 0.666 0.666  0.06
Y 0.212 0.334 0.334  0.06

Calculated values
E above lowest polymorph (eV/atom): 0.101
V (Å³ per cell): 319.3
Final energy (eV per cell): -44.44
Formation enthalpy at 0 K (eV per atom): 0.209

=====

Record 8
An optimized crystal structure of MnFeAg2. Source: Alexandria, functional PBE.

Cell: 3.159 3.159 6.359 Å, 90.00 90.00 90.00°
Each line ends with the local moment (μB).
Sites, in units of the cell vectors:
Ag 0.000 0.000 0.495  0.01
Ag 0.000 0.000 0.005  0.01
Fe 0.500 0.500 0.250  2.87
Mn 0.500 0.500 0.750  3.81

Calculated values
E above lowest polymorph (eV/atom): 0.185
V (Å³ per cell): 63.4
Final energy (eV per cell): -21.57
Formation enthalpy at 0 K (eV per atom): 0.441